# 1
VASP calculation (PBE) on a relaxed ScMo3Se crystal.

abc: 4.6379 4.6379 4.6379
angles: 90.00 90.00 90.00
Element x y z (fractional)
Sc 0.0000 0.0000 0.0000
Mo 0.0000 0.5000 0.5000
Mo 0.5000 0.0000 0.5000
Mo 0.5000 0.5000 0.0000
Se 0.5000 0.5000 0.5000

Theoretical density in Mg/m³: 6.9
Formation energy from raw total energies in meV/atom: 728
Energy relative to the lowest polymorph listed for this composition in eV/atom: 0.0000
Calculated volume in Å³ per cell: 100

=====

# 2
VASP calculation (PBE) on a relaxed ZnTeIr2 crystal.

abc: 8.5573 8.5573 8.5573
angles: 20.47 20.47 20.47
Element x y z (fractional)
Zn 0.0000 0.0000 0.0000
Te 0.5000 0.5000 0.5000
Ir 0.2531 0.2531 0.2531
Ir 0.7469 0.7469 0.7469

Theoretical density in Mg/m³: 14.3
Formation energy from raw total energies in meV/atom: 305
Energy relative to the lowest polymorph listed for this composition in eV/atom: 0.1161
Calculated volume in Å³ per cell: 67